(1)
Below is a relaxed structure of Ba2CdRu, with properties calculated at the PBE level.

Summary:
* energy of formation: 0.18 eV per atom
* space group: Amm2 (38)

abc: 4.7934 6.4927 6.4927
angles: 43.76 90.00 90.00
Sites, in units of the cell vectors:
Ba 0.0000 0.0000 0.0000
Ba 0.5000 0.2801 0.2801
Cd 0.0000 0.6980 0.6980
Ru 0.5000 0.5930 0.5930


(2)
Below is a relaxed structure of Pr2Al3CuPd4, with properties calculated at the PBE level.

Summary:
* energy of formation: -0.75 eV per atom
* space group: P-4m2 (115)

abc: 4.3430 4.3430 10.2831
angles: 90.00 90.00 90.00
Sites, in units of the cell vectors:
Pr 0.0000 0.5000 0.2461
Pr 0.5000 0.0000 0.7539
Al 0.0000 0.0000 0.0000
Al 0.0000 0.5000 0.6239
Al 0.5000 0.0000 0.3761
Cu 0.5000 0.5000 0.0000
Pd 0.0000 0.0000 0.5000
Pd 0.0000 0.5000 0.8668
Pd 0.5000 0.0000 0.1332
Pd 0.5000 0.5000 0.5000


(3)
Below is a relaxed structure of LiPuPtO4, with properties calculated at the PBE level.

Summary:
* formation energy without anion corrections: -1.85 eV per atom
* space group: Imma (74)

abc: 6.6687 6.6687 6.6687
angles: 126.08 120.99 84.04
Sites, in units of the cell vectors:
Li 0.4049 0.1549 0.2500
Li 0.5951 0.8451 0.7500
Pu 0.0000 0.5000 0.5000
Pu 0.5000 0.5000 0.0000
Pt 0.0000 0.0000 0.5000
Pt 0.0000 0.5000 0.0000
O 0.1859 0.7285 0.4574
O 0.2288 0.2715 0.9574
O 0.2942 0.3268 0.5326
O 0.2942 0.7617 0.9674
O 0.7058 0.2383 0.0326
O 0.7058 0.6732 0.4674
O 0.7712 0.7285 0.0426
O 0.8141 0.2715 0.5426